Version 1
Here is a geometry-optimized GaSbAs2 structure from the Alexandria database. Energies are from PBE-GGA.

Lattice parameters (Å, degrees): 9.378 9.378 9.378 21.13 21.13 21.13
Atoms (fractional coordinates):
Ga 0.000 0.000 0.000
Sb 0.500 0.500 0.500
As 0.395 0.395 0.395
As 0.605 0.605 0.605

Output
**Magnetization**: 0.000 μB per atom
**Crystal system**: trigonal

=====

Version 2
Here is a geometry-optimized GaSbAs2 structure from the Alexandria database. Energies are from PBE-GGA.

Lattice parameters (Å, degrees): 4.928 4.928 4.928 60.00 60.00 60.00
Atoms (fractional coordinates):
Ga 0.000 0.000 0.000
Sb 0.500 0.500 0.500
As 0.250 0.250 0.250
As 0.750 0.750 0.750

Output
**Magnetization**: 0.000 μB per atom
**Crystal system**: cubic

=====

So which one is most stable? That would be version 1, about 3.5 kJ/mol of atoms below the next structure.

=====

Version 1
Here is a geometry-optimized GaSbAsSe2 structure from the Alexandria database. Energies are from PBE-GGA.

Lattice parameters (Å, degrees): 4.953 4.953 4.938 90.00 90.00 90.00
Atoms (fractional coordinates):
Ga 0.000 0.000 0.000
Sb 0.500 0.500 0.500
As 0.000 0.000 0.500
Se 0.000 0.500 0.000
Se 0.500 0.000 0.000

Output
**Magnetization**: 0.000 μB per atom
**Crystal system**: tetragonal

=====

Version 2
Here is a geometry-optimized GaSbAsSe2 structure from the Alexandria database. Energies are from PBE-GGA.

Lattice parameters (Å, degrees): 5.399 5.399 5.311 90.00 90.00 90.00
Atoms (fractional coordinates):
Ga 0.000 0.000 0.000
Sb 0.500 0.500 0.500
As 0.500 0.500 0.000
Se 0.000 0.500 0.500
Se 0.500 0.000 0.500

Output
**Magnetization**: 0.171 μB per atom
**Crystal system**: tetragonal

=====

So which one is most stable? That would be version 1, about 9.9 kJ/mol of atoms below the next structure.

=====

Version 1
Here is a geometry-optimized Sc2GaAs2 structure from the Alexandria database. Energies are from PBE-GGA.

Lattice parameters (Å, degrees): 7.387 7.387 3.620 90.00 90.00 90.00
Atoms (fractional coordinates):
Sc 0.156 0.344 0.000
Sc 0.344 0.844 0.000
Sc 0.656 0.156 0.000
Sc 0.844 0.656 0.000
Ga 0.000 0.000 0.500
Ga 0.500 0.500 0.500
As 0.148 0.648 0.500
As 0.352 0.148 0.500
As 0.648 0.852 0.500
As 0.852 0.352 0.500

Output
**Magnetization**: 0.000 μB per atom
**Crystal system**: tetragonal

=====

Version 2
Here is a geometry-optimized Sc2GaAs2 structure from the Alexandria database. Energies are from PBE-GGA.

Lattice parameters (Å, degrees): 7.425 7.425 3.623 90.00 90.00 90.00
Atoms (fractional coordinates):
Sc 0.149 0.351 0.000
Sc 0.351 0.851 0.000
Sc 0.649 0.149 0.000
Sc 0.851 0.649 0.000
Ga 0.000 0.000 0.000
Ga 0.500 0.500 0.000
As 0.160 0.660 0.500
As 0.340 0.160 0.500
As 0.660 0.840 0.500
As 0.840 0.340 0.500

Output
**Magnetization**: 0.000 μB per atom
**Crystal system**: tetragonal

=====

So which one is most stable? That would be version 1, about 7.6 kJ/mol of atoms below the next structure.

=====

Version 1
Here is a geometry-optimized Ga2AsSe structure from the Alexandria database. Energies are from PBE-GGA.

Lattice parameters (Å, degrees): 3.771 4.144 5.617 90.00 90.00 90.00
Atoms (fractional coordinates):
Ga 0.000 0.000 0.000
Ga 0.500 0.500 0.198
As 0.500 0.000 0.608
Se 0.000 0.500 0.602

Output
**Magnetization**: 0.000 μB per atom
**Crystal system**: orthorhombic

=====

Version 2
Here is a geometry-optimized Ga2AsSe structure from the Alexandria database. Energies are from PBE-GGA.

Lattice parameters (Å, degrees): 7.398 7.398 7.398 32.85 32.85 32.85
Atoms (fractional coordinates):
Ga 0.000 0.000 0.000
Ga 0.493 0.493 0.493
As 0.123 0.123 0.123
Se 0.619 0.619 0.619

Output
**Magnetization**: 0.000 μB per atom
**Crystal system**: trigonal

=====

Version 3
Here is a geometry-optimized Ga2AsSe structure from the Alexandria database. Energies are from PBE-GGA.

Lattice parameters (Å, degrees): 4.835 4.835 4.835 60.00 60.00 60.00
Atoms (fractional coordinates):
Ga 0.250 0.250 0.250
Ga 0.750 0.750 0.750
As 0.000 0.000 0.000
Se 0.500 0.500 0.500

Output
**Magnetization**: 0.000 μB per atom
**Crystal system**: cubic

=====

Version 4
Here is a geometry-optimized Ga2AsSe structure from the Alexandria database. Energies are from PBE-GGA.

Lattice parameters (Å, degrees): 7.681 7.681 7.681 30.62 30.62 30.62
Atoms (fractional coordinates):
Ga 0.108 0.108 0.108
Ga 0.892 0.892 0.892
As 0.500 0.500 0.500
Se 0.000 0.000 0.000

Output
**Magnetization**: 0.000 μB per atom
**Crystal system**: trigonal

=====

So which one is most stable? That would be version 2, about 24.4 kJ/mol of atoms below the next structure.

=====

Version 1
Here is a geometry-optimized GaAs2Se structure from the Alexandria database. Energies are from PBE-GGA.

Lattice parameters (Å, degrees): 4.814 4.814 4.814 60.00 60.00 60.00
Atoms (fractional coordinates):
Ga 0.000 0.000 0.000
As 0.250 0.250 0.250
As 0.750 0.750 0.750
Se 0.500 0.500 0.500

Output
**Magnetization**: 0.000 μB per atom
**Crystal system**: cubic

=====

Version 2
Here is a geometry-optimized GaAs2Se structure from the Alexandria database. Energies are from PBE-GGA.

Lattice parameters (Å, degrees): 7.869 7.869 7.869 138.57 138.57 60.03
Atoms (fractional coordinates):
Ga 0.000 0.000 0.000
Ga 0.750 0.250 0.500
As 0.113 0.625 0.988
As 0.375 0.363 0.488
As 0.637 0.125 0.012
As 0.875 0.887 0.512
Se 0.250 0.750 0.500
Se 0.500 0.500 0.000

Output
**Magnetization**: 0.000 μB per atom
**Crystal system**: tetragonal

=====

So which one is most stable? That would be version 2, about 20.7 kJ/mol of atoms below the next structure.

=====

Version 1
Here is a geometry-optimized GaSnAs2Se structure from the Alexandria database. Energies are from PBE-GGA.

Lattice parameters (Å, degrees): 5.277 5.277 5.380 90.00 90.00 90.00
Atoms (fractional coordinates):
Ga 0.000 0.000 0.000
Sn 0.500 0.500 0.500
As 0.000 0.500 0.500
As 0.500 0.000 0.500
Se 0.500 0.500 0.000

Output
**Magnetization**: 0.121 μB per atom
**Crystal system**: tetragonal

=====

Version 2
Here is a geometry-optimized GaSnAs2Se structure from the Alexandria database. Energies are from PBE-GGA.

Lattice parameters (Å, degrees): 4.925 4.925 5.099 90.00 90.00 90.00
Atoms (fractional coordinates):
Ga 0.000 0.000 0.000
Sn 0.500 0.500 0.500
As 0.000 0.500 0.000
As 0.500 0.000 0.000
Se 0.000 0.000 0.500

Output
**Magnetization**: 0.000 μB per atom
**Crystal system**: tetragonal

=====

So which one is most stable? That would be version 2, about 22.9 kJ/mol of atoms below the next structure.

=====

Version 1
Here is a geometry-optimized GaSnAsSe2 structure from the Alexandria database. Energies are from PBE-GGA.

Lattice parameters (Å, degrees): 5.352 5.352 5.246 90.00 90.00 90.00
Atoms (fractional coordinates):
Ga 0.000 0.000 0.000
Sn 0.500 0.500 0.500
As 0.500 0.500 0.000
Se 0.000 0.500 0.500
Se 0.500 0.000 0.500

Output
**Magnetization**: 0.000 μB per atom
**Crystal system**: tetragonal

=====

Version 2
Here is a geometry-optimized GaSnAsSe2 structure from the Alexandria database. Energies are from PBE-GGA.

Lattice parameters (Å, degrees): 5.034 5.034 4.916 90.00 90.00 90.00
Atoms (fractional coordinates):
Ga 0.000 0.000 0.000
Sn 0.500 0.500 0.500
As 0.000 0.000 0.500
Se 0.000 0.500 0.000
Se 0.500 0.000 0.000

Output
**Magnetization**: 0.000 μB per atom
**Crystal system**: tetragonal

=====

So which one is most stable? That would be version 2, about 18.6 kJ/mol of atoms below the next structure.

=====

Version 1
Here is a geometry-optimized TaGaAsSe2 structure from the Alexandria database. Energies are from PBE-GGA.

Lattice parameters (Å, degrees): 5.049 5.049 5.080 90.00 90.00 90.00
Atoms (fractional coordinates):
Ta 0.000 0.000 0.000
Ga 0.500 0.500 0.500
As 0.000 0.000 0.500
Se 0.000 0.500 0.000
Se 0.500 0.000 0.000

Output
**Magnetization**: 0.000 μB per atom
**Crystal system**: tetragonal

=====

Version 2
Here is a geometry-optimized TaGaAsSe2 structure from the Alexandria database. Energies are from PBE-GGA.

Lattice parameters (Å, degrees): 4.832 4.832 4.738 90.00 90.00 90.00
Atoms (fractional coordinates):
Ta 0.000 0.000 0.000
Ga 0.500 0.500 0.500
As 0.500 0.500 0.000
Se 0.000 0.500 0.500
Se 0.500 0.000 0.500

Output
**Magnetization**: 0.000 μB per atom
**Crystal system**: tetragonal

=====

So which one is most stable? That would be version 1, about 96.8 kJ/mol of atoms below the next structure.

=====

Version 1
Here is a geometry-optimized TaGaAs2Se structure from the Alexandria database. Energies are from PBE-GGA.

Lattice parameters (Å, degrees): 5.054 5.054 5.030 90.00 90.00 90.00
Atoms (fractional coordinates):
Ta 0.000 0.000 0.000
Ga 0.500 0.500 0.500
As 0.000 0.500 0.000
As 0.500 0.000 0.000
Se 0.000 0.000 0.500

Output
**Magnetization**: 0.000 μB per atom
**Crystal system**: tetragonal

=====

Version 2
Here is a geometry-optimized TaGaAs2Se structure from the Alexandria database. Energies are from PBE-GGA.

Lattice parameters (Å, degrees): 4.722 4.722 4.898 90.00 90.00 90.00
Atoms (fractional coordinates):
Ta 0.000 0.000 0.000
Ga 0.500 0.500 0.500
As 0.000 0.500 0.500
As 0.500 0.000 0.500
Se 0.500 0.500 0.000

Output
**Magnetization**: 0.000 μB per atom
**Crystal system**: tetragonal

=====

So which one is most stable? That would be version 1, about 90.5 kJ/mol of atoms below the next structure.

=====

Version 1
Here is a geometry-optimized GaTcAsSe2 structure from the Alexandria database. Energies are from PBE-GGA.

Lattice parameters (Å, degrees): 5.014 5.014 4.748 90.00 90.00 90.00
Atoms (fractional coordinates):
Ga 0.000 0.000 0.000
Tc 0.500 0.500 0.500
As 0.500 0.500 0.000
Se 0.000 0.500 0.500
Se 0.500 0.000 0.500

Output
**Magnetization**: 0.000 μB per atom
**Crystal system**: tetragonal

=====

Version 2
Here is a geometry-optimized GaTcAsSe2 structure from the Alexandria database. Energies are from PBE-GGA.

Lattice parameters (Å, degrees): 4.954 4.954 4.856 90.00 90.00 90.00
Atoms (fractional coordinates):
Ga 0.000 0.000 0.000
Tc 0.500 0.500 0.500
As 0.000 0.000 0.500
Se 0.000 0.500 0.000
Se 0.500 0.000 0.000

Output
**Magnetization**: 0.682 μB per atom
**Crystal system**: tetragonal

=====

So which one is most stable? That would be version 1, about 65.9 kJ/mol of atoms below the next structure.

=====

Version 1
Here is a geometry-optimized GaTeAsSe2 structure from the Alexandria database. Energies are from PBE-GGA.

Lattice parameters (Å, degrees): 5.447 5.447 5.357 90.00 90.00 90.00
Atoms (fractional coordinates):
Ga 0.000 0.000 0.000
Te 0.500 0.500 0.500
As 0.500 0.500 0.000
Se 0.000 0.500 0.500
Se 0.500 0.000 0.500

Output
**Magnetization**: 0.199 μB per atom
**Crystal system**: tetragonal

=====

Version 2
Here is a geometry-optimized GaTeAsSe2 structure from the Alexandria database. Energies are from PBE-GGA.

Lattice parameters (Å, degrees): 4.935 4.935 5.031 90.00 90.00 90.00
Atoms (fractional coordinates):
Ga 0.000 0.000 0.000
Te 0.500 0.500 0.500
As 0.000 0.000 0.500
Se 0.000 0.500 0.000
Se 0.500 0.000 0.000

Output
**Magnetization**: 0.000 μB per atom
**Crystal system**: tetragonal

=====

So which one is most stable? That would be version 2, about 11.3 kJ/mol of atoms below the next structure.

=====

Version 1
Here is a geometry-optimized GaTeAs2Se structure from the Alexandria database. Energies are from PBE-GGA.

Lattice parameters (Å, degrees): 5.003 5.003 4.867 90.00 90.00 90.00
Atoms (fractional coordinates):
Ga 0.000 0.000 0.000
Te 0.500 0.500 0.500
As 0.000 0.500 0.000
As 0.500 0.000 0.000
Se 0.000 0.000 0.500

Output
**Magnetization**: 0.000 μB per atom
**Crystal system**: tetragonal

=====

Version 2
Here is a geometry-optimized GaTeAs2Se structure from the Alexandria database. Energies are from PBE-GGA.

Lattice parameters (Å, degrees): 5.357 5.357 5.453 90.00 90.00 90.00
Atoms (fractional coordinates):
Ga 0.000 0.000 0.000
Te 0.500 0.500 0.500
As 0.000 0.500 0.500
As 0.500 0.000 0.500
Se 0.500 0.500 0.000

Output
**Magnetization**: 0.080 μB per atom
**Crystal system**: tetragonal

=====

So which one is most stable? That would be version 1, about 20.8 kJ/mol of atoms below the next structure.